[1]
YAgIr2: relaxed, PBEsol.

For the relative energy among the computed polymorphs, the calculation gives 0.172 eV per atom. As for the energy: -7.4201 eV per atom. As for the space-group type: Immm, No. 71. Its energy of formation is 25 meV per atom. Its calculated volume is 68.3 Å³/f.u.

abc: 3.1191 4.7611 5.4061
angles: 116.13 106.77 90.00
Atoms (fractional coordinates):
Ag1 0.5000 0.0000 0.0000
Ir1 0.2489 0.2489 0.4979
Y1 0.0000 0.5000 0.0000
Ir2 0.7511 0.7511 0.5021

---

[2]
KZrRhS2: relaxed, PBEsol.

As for the energy: -4.9571 eV per atom. As for the space-group type: P4/mmm, No. 123. Its calculated volume is 104.5 Å³/f.u. The uncorrected formation energy is 469 meV/atom.

abc: 4.7126 4.7126 4.7047
angles: 90.00 90.00 90.00
Atoms (fractional coordinates):
S1 0.0000 0.5000 0.0000
Rh1 0.0000 0.0000 0.0000
K1 0.0000 0.0000 0.5000
S2 0.5000 0.0000 0.0000
Zr1 0.5000 0.5000 0.5000

---

[3]
CaSb2Rh2: relaxed, PBEsol.

As for the energy: -6.0095 eV per atom. As for the space-group type: I4/mmm, No. 139. Its calculated volume is 106.0 Å³/f.u. The uncorrected formation energy is -505 meV/atom.

abc: 4.6911 4.6911 5.8500
angles: 113.64 113.64 90.00
Atoms (fractional coordinates):
Ca1 0.0000 0.0000 0.0000
Sb1 0.2500 0.7500 0.5000
Sb2 0.7500 0.2500 0.5000
Rh1 0.6345 0.6345 0.2691
Rh2 0.3655 0.3655 0.7309

---

[4]
Ni2SeBr: relaxed, PBEsol.

For the relative energy among the computed polymorphs, the calculation gives 0.470 eV per atom. As for the energy: -4.1920 eV per atom. As for the space-group type: Pmmm, No. 47. Its calculated volume is 72.7 Å³/f.u. The uncorrected formation energy is 317 meV/atom.

abc: 3.3259 3.3819 6.4652
angles: 90.00 90.00 90.00
Atoms (fractional coordinates):
Ni1 0.0000 0.0000 0.0000
Br1 0.5000 0.0000 0.5000
Ni2 0.0000 0.5000 0.5000
Se1 0.5000 0.5000 0.0000

---

Copy entry 1 word for word.
YAgIr2: relaxed, PBEsol.

For the relative energy among the computed polymorphs, the calculation gives 0.172 eV per atom. As for the energy: -7.4201 eV per atom. As for the space-group type: Immm, No. 71. Its energy of formation is 25 meV per atom. Its calculated volume is 68.3 Å³/f.u.

abc: 3.1191 4.7611 5.4061
angles: 116.13 106.77 90.00
Atoms (fractional coordinates):
Ag1 0.5000 0.0000 0.0000
Ir1 0.2489 0.2489 0.4979
Y1 0.0000 0.5000 0.0000
Ir2 0.7511 0.7511 0.5021